# 1
Here is a relaxed MgNpAgTe3 crystal from the Alexandria database. Energies are from PBE-GGA.

Geometry as CIF:
```
data_MgNpAgTe3
_symmetry_space_group_name_H-M 'P 1'
_symmetry_Int_Tables_number 1
_cell_length_a 8.4056
_cell_length_b 4.2368
_cell_length_c 9.6496
_cell_angle_alpha 90.00
_cell_angle_beta 102.53
_cell_angle_gamma 90.00
loop_
_symmetry_equiv_pos_as_xyz
'x,y,z'
loop_
_atom_site_label
_atom_site_type_symbol
_atom_site_fract_x
_atom_site_fract_y
_atom_site_fract_z
Mg1 Mg 0.1620 0.2500 0.1633
Mg2 Mg 0.8380 0.7500 0.8367
Np1 Np 0.3153 0.7500 0.7480
Np2 Np 0.6847 0.2500 0.2520
Ag1 Ag 0.4150 0.7500 0.4154
Ag2 Ag 0.5850 0.2500 0.5846
Te1 Te 0.0846 0.2500 0.8533
Te2 Te 0.2184 0.2500 0.4890
Te3 Te 0.4104 0.7500 0.1238
Te4 Te 0.5896 0.2500 0.8762
Te5 Te 0.7816 0.7500 0.5110
Te6 Te 0.9154 0.7500 0.1467
```

Values from the calculation:
theoretical density	7.444	Mg/m³
uncorrected formation energy	-3.24	eV per formula unit
magnetization	4.00	μB/f.u.
uncorrected energy	-5.008	eV per atom



# 2
Here is a relaxed Li2SiHPd6 crystal from the Alexandria database. Energies are from PBE-GGA.

Geometry as CIF:
```
data_Li2SiHPd6
_symmetry_space_group_name_H-M 'P 1'
_symmetry_Int_Tables_number 1
_cell_length_a 5.9740
_cell_length_b 5.9740
_cell_length_c 5.9272
_cell_angle_alpha 119.69
_cell_angle_beta 119.69
_cell_angle_gamma 90.06
loop_
_symmetry_equiv_pos_as_xyz
'x,y,z'
loop_
_atom_site_label
_atom_site_type_symbol
_atom_site_fract_x
_atom_site_fract_y
_atom_site_fract_z
Li1 Li 0.2480 0.7520 0.0000
Li2 Li 0.7520 0.2480 0.0000
Si1 Si 0.0000 0.0000 0.5000
H1 H 0.5000 0.5000 0.5000
Pd1 Pd 0.2658 0.7342 0.5000
Pd2 Pd 0.2676 0.2676 0.5029
Pd3 Pd 0.2688 0.2688 0.0315
Pd4 Pd 0.7312 0.7312 0.9685
Pd5 Pd 0.7324 0.7324 0.4971
Pd6 Pd 0.7342 0.2658 0.5000
```

Values from the calculation:
theoretical density	7.499	Mg/m³
magnetization	0.00	μB/f.u.
uncorrected energy	-4.749	eV per atom



- Number 1 is which compound?
  MgNpAgTe3